Entry 1:
VASP calculation (GGA-PBE) on crystalline MgAl2PtI at its relaxed geometry.

```
MgAl2PtI
1.0
5.398 0.000 0.000
0.000 5.282 0.000
0.000 0.000 5.398
Pt I Al Mg
1 1 2 1
direct
0.500 0.500 0.500 Pt
0.000 0.000 0.000 I
0.000 0.000 0.500 Al
0.500 0.000 0.000 Al
0.000 0.500 0.000 Mg
```

Results
**SG**: No. 123


Entry 2:
VASP calculation (GGA-PBE) on crystalline RbMgAl2I at its relaxed geometry.

```
RbMgAl2I
1.0
6.625 0.000 0.000
0.000 6.790 0.000
0.000 0.000 6.625
Al Rb I Mg
2 1 1 1
direct
0.000 0.000 0.500 Al
0.500 0.000 0.000 Al
0.000 0.000 0.000 Rb
0.500 0.500 0.500 I
0.000 0.500 0.000 Mg
```

Results
**SG**: No. 123


Entry 3:
VASP calculation (GGA-PBE) on crystalline MgAl2RuI at its relaxed geometry.

```
MgAl2RuI
1.0
-2.692 3.985 1.777
-0.765 -2.667 4.824
4.306 2.089 1.838
I Al Ru Mg
1 2 1 1
direct
0.000 0.500 0.000 I
0.000 0.000 0.500 Al
0.500 0.000 0.000 Al
0.500 0.500 0.500 Ru
0.000 0.000 0.000 Mg
```

Results
**SG**: No. 123


Entry 4:
VASP calculation (GGA-PBE) on crystalline MgAlSb2I at its relaxed geometry.

```
MgAlSb2I
1.0
-3.421 -4.115 0.054
2.195 -1.884 -4.502
3.621 -2.971 3.009
Mg Sb Al I
1 2 1 1
direct
0.500 0.500 0.500 Mg
0.500 0.000 0.000 Sb
0.000 0.500 0.000 Sb
0.000 0.000 0.000 Al
0.000 0.000 0.500 I
```

Results
**Energy above the most stable polymorph in this dataset**: 0.00 eV/f.u.
**SG**: No. 123


Entry 5:
VASP calculation (GGA-PBE) on crystalline MgAlSb2I at its relaxed geometry.

```
MgAlSb2I
1.0
-0.648 -4.026 -3.561
4.539 1.511 -2.535
3.112 -3.555 3.454
Mg Al Sb I
1 1 2 1
direct
0.000 0.000 0.000 Mg
0.500 0.500 0.500 Al
0.500 0.000 0.000 Sb
0.000 0.500 0.000 Sb
0.000 0.000 0.500 I
```

Results
**Energy above the most stable polymorph in this dataset**: 0.58 eV/f.u.
**SG**: No. 123


Entry 6:
VASP calculation (GGA-PBE) on crystalline MgScAl2I at its relaxed geometry.

```
MgScAl2I
1.0
-4.723 1.242 2.639
-0.239 -5.518 2.168
2.908 1.619 4.442
Al I Mg Sc
2 1 1 1
direct
0.500 0.000 0.000 Al
0.000 0.000 0.500 Al
0.500 0.500 0.500 I
0.000 0.500 0.000 Mg
0.000 0.000 0.000 Sc
```

Results
**SG**: No. 123


Entry 7:
VASP calculation (GGA-PBE) on crystalline Mg2AlTcI at its relaxed geometry.

```
Mg2AlTcI
1.0
5.303 0.000 0.000
0.000 4.701 0.000
0.000 0.000 5.303
Mg Al Tc I
2 1 1 1
direct
0.500 0.000 0.000 Mg
0.000 0.000 0.500 Mg
0.000 0.000 0.000 Al
0.000 0.500 0.000 Tc
0.500 0.500 0.500 I
```

Results
**SG**: No. 123


Entry 8:
VASP calculation (GGA-PBE) on crystalline MgAlTeI2 at its relaxed geometry.

```
MgAlTeI2
1.0
-4.982 -0.638 2.202
1.444 -4.964 1.830
1.816 2.286 4.769
I Al Te Mg
2 1 1 1
direct
0.000 0.500 0.000 I
0.500 0.000 0.000 I
0.000 0.000 0.000 Al
0.000 0.000 0.500 Te
0.500 0.500 0.500 Mg
```

Results
**Energy above the most stable polymorph in this dataset**: 0.06 eV/f.u.
**SG**: No. 123


Entry 9:
VASP calculation (GGA-PBE) on crystalline MgAlTeI2 at its relaxed geometry.

```
MgAlTeI2
1.0
-0.427 3.951 -4.124
-5.532 -1.317 -0.688
-1.385 3.827 3.810
I Mg Te Al
2 1 1 1
direct
0.500 0.000 0.000 I
0.000 0.500 0.000 I
0.000 0.000 0.000 Mg
0.000 0.000 0.500 Te
0.500 0.500 0.500 Al
```

Results
**Energy above the most stable polymorph in this dataset**: 0.00 eV/f.u.
**SG**: No. 123


Entry 10:
VASP calculation (GGA-PBE) on crystalline Mn2AlI8 at its relaxed geometry.

```
Mn2AlI8
1.0
-2.559 2.897 -8.982
4.072 -7.298 1.809
-5.903 -3.755 0.471
Mn I Al
2 8 1
direct
0.177 0.355 0.378 Mn
0.823 0.645 0.622 Mn
0.642 0.283 0.713 I
0.358 0.717 0.287 I
0.173 0.345 0.760 I
0.120 0.841 0.782 I
0.720 0.841 0.782 I
0.827 0.655 0.240 I
0.280 0.159 0.218 I
0.880 0.159 0.218 I
0.000 0.000 0.000 Al
```

Results
**SG**: No. 12


Entry 11:
VASP calculation (GGA-PBE) on crystalline MnAlI3 at its relaxed geometry.

```
MnAlI3
1.0
-5.104 1.721 1.789
1.247 -1.759 5.250
2.147 5.114 1.204
I Al Mn
3 1 1
direct
0.500 0.000 0.000 I
0.000 0.500 0.000 I
0.000 0.000 0.500 I
0.000 0.000 0.000 Al
0.500 0.500 0.500 Mn
```

Results
**Energy above the most stable polymorph in this dataset**: 1.32 eV/f.u.
**SG**: No. 221


Entry 12:
VASP calculation (GGA-PBE) on crystalline MnAlI3 at its relaxed geometry.

```
MnAlI3
1.0
5.631 0.000 0.000
0.000 5.631 0.000
0.000 0.000 5.631
Al I Mn
1 3 1
direct
0.500 0.500 0.500 Al
0.500 0.000 0.000 I
0.000 0.500 0.000 I
0.000 0.000 0.500 I
0.000 0.000 0.000 Mn
```

Results
**Energy above the most stable polymorph in this dataset**: 0.00 eV/f.u.
**SG**: No. 221


Entry 13:
VASP calculation (GGA-PBE) on crystalline Mn2AlI at its relaxed geometry.

```
Mn2AlI
1.0
-1.326 -3.411 2.262
-1.831 0.554 3.854
-4.208 -0.740 0.509
Mn Al I
2 1 1
direct
0.250 0.250 0.250 Mn
0.750 0.750 0.750 Mn
0.000 0.000 0.000 Al
0.500 0.500 0.500 I
```

Results
**Energy above the most stable polymorph in this dataset**: 0.34 eV/f.u.
**SG**: No. 225


Entry 14:
VASP calculation (GGA-PBE) on crystalline MnAlI6 at its relaxed geometry.

```
MnAlI6
1.0
7.065 0.586 0.000
2.300 6.705 0.000
1.150 3.353 6.874
Al I Mn
1 6 1
direct
0.500 0.500 0.000 Al
0.247 0.894 0.718 I
0.753 0.106 0.282 I
0.264 0.264 0.000 I
0.753 0.388 0.718 I
0.247 0.612 0.282 I
0.736 0.736 0.000 I
0.000 0.000 0.000 Mn
```

Results
**SG**: No. 12


Entry 15:
VASP calculation (GGA-PBE) on crystalline Mn2AlI at its relaxed geometry.

```
Mn2AlI
1.0
7.524 0.000 0.000
0.000 7.524 0.000
3.762 3.762 3.006
I Mn Al
2 4 2
direct
0.000 0.000 0.000 I
0.750 0.250 0.500 I
0.375 0.391 0.750 Mn
0.875 0.859 0.750 Mn
0.141 0.625 0.250 Mn
0.609 0.125 0.250 Mn
0.250 0.750 0.500 Al
0.500 0.500 0.000 Al
```

Results
**Energy above the most stable polymorph in this dataset**: 0.00 eV/f.u.
**SG**: No. 122


Entry 16:
VASP calculation (GGA-PBE) on crystalline MnAlI5 at its relaxed geometry.

```
MnAlI5
1.0
7.518 0.067 -2.659
-1.093 7.440 -2.658
-0.018 -0.022 10.726
I Mn Al
10 2 2
direct
0.228 0.246 0.540 I
0.170 0.726 0.843 I
0.254 0.272 0.960 I
0.226 0.670 0.344 I
0.830 0.274 0.157 I
0.772 0.754 0.460 I
0.746 0.728 0.040 I
0.573 0.927 0.750 I
0.427 0.073 0.250 I
0.774 0.330 0.656 I
0.500 0.000 0.500 Mn
0.500 0.000 0.000 Mn
0.878 0.622 0.250 Al
0.122 0.378 0.750 Al
```

Results
**SG**: No. 15


Entry 17:
VASP calculation (GGA-PBE) on crystalline MnAlI2 at its relaxed geometry.

```
MnAlI2
1.0
0.000 3.532 3.532
3.532 0.000 3.532
3.532 3.532 0.000
I Mn Al
2 1 1
direct
0.250 0.250 0.250 I
0.750 0.750 0.750 I
0.500 0.500 0.500 Mn
0.000 0.000 0.000 Al
```

Results
**Energy above the most stable polymorph in this dataset**: 3.00 eV/f.u.
**SG**: No. 225


Entry 18:
VASP calculation (GGA-PBE) on crystalline MnAl3I at its relaxed geometry.

```
MnAl3I
1.0
4.902 0.000 0.000
0.000 4.902 0.000
0.000 0.000 4.902
Mn Al I
1 3 1
direct
0.000 0.000 0.000 Mn
0.500 0.000 0.000 Al
0.000 0.500 0.000 Al
0.000 0.000 0.500 Al
0.500 0.500 0.500 I
```

Results
**SG**: No. 221


Entry 19:
VASP calculation (GGA-PBE) on crystalline MnAlI2 at its relaxed geometry.

```
MnAlI2
1.0
8.415 0.000 0.000
0.000 8.415 0.000
4.207 4.207 3.636
I Mn Al
4 2 2
direct
0.375 0.305 0.750 I
0.055 0.625 0.250 I
0.875 0.945 0.750 I
0.695 0.125 0.250 I
0.750 0.250 0.500 Mn
0.000 0.000 0.000 Mn
0.500 0.500 0.000 Al
0.250 0.750 0.500 Al
```

Results
**Energy above the most stable polymorph in this dataset**: 0.00 eV/f.u.
**SG**: No. 122


Entry 20:
VASP calculation (GGA-PBE) on crystalline MnAlI2N at its relaxed geometry.

```
MnAlI2N
1.0
5.803 0.000 0.000
0.000 5.803 0.000
0.000 0.000 3.634
Mn I Al N
1 2 1 1
direct
0.000 0.000 0.000 Mn
0.500 0.000 0.000 I
0.000 0.500 0.000 I
0.500 0.500 0.500 Al
0.000 0.000 0.500 N
```

Results
**Energy above the most stable polymorph in this dataset**: 0.00 eV/f.u.
**SG**: No. 123


Computed total magnetization (μB/cell) in order:
0.00, 0.00, 2.81, 0.00, 0.00, 1.51, 1.98, 0.00, 0.00, 9.00, 5.64, 5.00, 0.00, 4.21, 16.16, 10.00, 0.00, 2.92, 8.00, 2.94
Computed energy relative to the elements, uncorrected (eV/f.u.) in order:
6.36, 5.61, 7.07, 1.79, 2.37, 3.82, 3.38, -0.48, -0.54, -4.27, 1.10, -0.21, 2.88, -3.01, 2.54, -3.42, 3.95, 1.87, 0.94, 1.33